Entry 1:
The following is a PBE-GGA calculation of a relaxed AcTh2Hg crystal, from the Alexandria database.

Unit cell a=4.9867 b=4.9867 c=5.1531 alpha=90.00 beta=90.00 gamma=90.00
Last column: nearest neighbours and their distance in Å.
Space group P4/mmm (No. 123)
Asymmetric unit:
Ac1 0.0000 0.0000 0.0000  4 Hg 3.53, 8 Th 3.59
Th1 0.0000 0.5000 0.5000  4 Th 3.53, 4 Hg 3.59, 4 Ac 3.59
Hg1 0.5000 0.5000 0.0000  4 Ac 3.53, 8 Th 3.59

**Excess energy over the best structure of this formula in the dataset**: 8 kJ/mol of formula units

---

Entry 2:
The following is a PBE-GGA calculation of a relaxed AcTh2Hg crystal, from the Alexandria database.

Unit cell a=3.7930 b=3.7930 c=9.1099 alpha=90.00 beta=90.00 gamma=90.00
Last column: nearest neighbours and their distance in Å.
Space group P4/mmm (No. 123)
Asymmetric unit:
Ac1 0.0000 0.0000 0.0000  8 Th 3.73, 4 Ac 3.79
Th1 0.5000 0.5000 0.2845  4 Hg 3.32
Hg1 0.0000 0.0000 0.5000  8 Th 3.32

**Excess energy over the best structure of this formula in the dataset**: 0 kJ/mol of formula units

---

Entry 3:
The following is a PBE-GGA calculation of a relaxed AcTh4Hg5 crystal, from the Alexandria database.

Unit cell a=3.8700 b=3.8700 c=19.3646 alpha=90.00 beta=90.00 gamma=90.00
Last column: nearest neighbours and their distance in Å.
Space group P4/mmm (No. 123)
Asymmetric unit:
Ac1 0.0000 0.0000 0.0000  8 Hg 3.48, 4 Ac 3.87
Th1 0.0000 0.0000 0.2086  8 Hg 3.32
Th2 0.0000 0.0000 0.4030  8 Hg 3.32
Hg1 0.5000 0.5000 0.1112  4 Th 3.32, 4 Ac 3.48
Hg2 0.5000 0.5000 0.3056  8 Th 3.32
Hg3 0.5000 0.5000 0.5000  8 Th 3.32

---

Entry 4:
The following is a PBE-GGA calculation of a relaxed Ac2ThHg8 crystal, from the Alexandria database.

Unit cell a=5.4166 b=8.0127 c=14.5497 alpha=90.00 beta=90.00 gamma=90.00
Last column: nearest neighbours and their distance in Å.
Space group Immm (No. 71)
Asymmetric unit:
Ac1 0.0000 0.0000 0.2055  10 Hg 3.30-3.47
Th1 0.0000 0.0000 0.5000  8 Hg 3.11-3.47
Hg1 0.0000 0.2189 0.0000  6 Hg 3.12-3.32, 2 Ac 3.47
Hg2 0.0000 0.3069 0.3687  3 Hg 3.09-3.32, 1 Th 3.11, 3 Ac 3.30-3.42
Hg3 0.0000 0.5000 0.1486  2 Hg 3.12, 2 Ac 3.44, 2 Th 3.47

---

Entry 5:
The following is a PBE-GGA calculation of a relaxed Ac3ThHg4 crystal, from the Alexandria database.

Unit cell a=3.9928 b=3.9928 c=15.8950 alpha=90.00 beta=90.00 gamma=90.00
Last column: nearest neighbours and their distance in Å.
Space group P4/mmm (No. 123)
Asymmetric unit:
Ac1 0.0000 0.0000 0.0000  8 Hg 3.48
Ac2 0.0000 0.0000 0.2588  8 Hg 3.50, 1 Th 3.83
Th1 0.0000 0.0000 0.5000  8 Hg 3.33
Hg1 0.5000 0.5000 0.1285  8 Ac 3.48-3.50
Hg2 0.5000 0.5000 0.3885  4 Th 3.33, 4 Ac 3.50, 1 Hg 3.54

---

Entry 6:
The following is a PBE-GGA calculation of a relaxed Ac3ThHg6 crystal, from the Alexandria database.

Unit cell a=9.9023 b=5.4640 c=11.9061 alpha=90.00 beta=109.22 gamma=90.00
Last column: nearest neighbours and their distance in Å.
Space group P2_1/m (No. 11)
Asymmetric unit:
Ac1 0.0119 0.2500 0.3800  5 Hg 3.24-3.53
Ac2 0.1534 0.7500 0.2156  8 Hg 3.35-3.74
Ac3 0.2778 0.2500 0.9857  11 Hg 3.31-3.67
Th1 0.4411 0.2500 0.5993  7 Hg 3.18-3.31
Hg1 0.0292 0.7500 0.9174  7 Ac 3.35-3.59, 2 Hg 3.52
Hg2 0.1733 0.2500 0.6919  1 Th 3.19, 4 Ac 3.24-3.53, 2 Hg 3.36
Hg3 0.2651 0.7500 0.5133  3 Th 3.22-3.58, 2 Ac 3.35-3.38, 2 Hg 3.39-3.57
Hg4 0.3613 0.7500 0.8144  7 Hg 3.28-3.50, 4 Ac 3.58-3.66
Hg5 0.3648 0.2500 0.3104  3 Th 3.27-3.31, 2 Ac 3.40, 2 Hg 3.50-3.57
Hg6 0.4455 0.7500 0.1180  1 Th 3.18, 3 Hg 3.28-3.43, 4 Ac 3.31-3.45

---

| no. | ρ (g/cm³) | formation energy from the elements (meV/atom) | E (eV per atom) |
| --- | --- | --- | --- |
| 1 | 11.55 | 14 | -4.798 |
| 2 | 11.30 | -7 | -4.819 |
| 3 | 12.36 | -237 | -3.767 |
| 4 | 12.05 | -295 | -1.936 |
| 5 | 11.24 | -388 | -3.007 |
| 6 | 11.56 | -359 | -2.515 |